No. 1
Computed, not measured: crystalline KCuBr3 at its relaxed geometry at the PBE level of DFT.

Calculated values
Formation energy from raw total energies   -863 meV per atom
Symmetry   P2_1

abc: 5.1086 7.3418 8.8146
angles: 90.00 72.96 90.00
Fractional positions:
Br  0.0551  0.3940  0.6095
Br  0.9705  0.8940  0.7760
Br  0.2222  0.9032  0.2790
Br  0.8035  0.4032  0.1064
Br  0.6203  0.6726  0.4810
Br  0.4054  0.1726  0.9044
K  0.3959  0.6406  0.9241
K  0.6297  0.1406  0.4614
Cu  0.1284  0.6677  0.4656
Cu  0.8973  0.1677  0.9199


No. 2
Computed, not measured: crystalline Er2CuTe2S2O14 at its relaxed geometry at the PBE level of DFT.

Calculated values
Formation energy from raw total energies   -1816 meV per atom
Symmetry   P-1

abc: 5.1941 7.9081 8.1792
angles: 118.25 105.48 85.24
Fractional positions:
O  0.1548  0.5833  0.7640
O  0.5598  0.7410  0.7936
O  0.2539  0.9309  0.3419
O  0.4402  0.2590  0.2064
O  0.8266  0.0794  0.0948
O  0.7461  0.0691  0.6581
O  0.8452  0.4167  0.2360
O  0.8431  0.2636  0.4376
O  0.2674  0.1865  0.7459
O  0.2479  0.5595  0.1107
O  0.7326  0.8135  0.2541
O  0.1569  0.7364  0.5624
O  0.7521  0.4405  0.8893
O  0.1734  0.9206  0.9052
Er  0.9355  0.7487  0.0204
Er  0.0645  0.2513  0.9796
Te  0.5071  0.2719  0.6539
Te  0.4929  0.7281  0.3461
Cu  0.0000  0.0000  0.5000
S  0.7364  0.2551  0.2485
S  0.2636  0.7449  0.7515